Below is a PBEsol-optimized structure of SrInHg, with properties calculated at the SCAN level.

Cell lengths 4.9865, 4.9865, 3.8470 Å; angles 90.00, 90.00, 120.00 degrees
Closest atoms and distances in Å follow each position.
Positions (direct):
Sr: 0.0000 0.0000 0.0000  6 Hg 3.46, 6 In 3.46, 2 Sr 3.85
In: 0.6667 0.3333 0.5000  3 Hg 2.88
Hg: 0.3333 0.6667 0.5000  3 In 2.88

Values from the calculation:
DFT formation energy in eV/atom: -0.66
Total DFT energy (no corrections) in eV per atom: -41.9322

=====

Below is a PBEsol-optimized structure of SrLiLa, with properties calculated at the SCAN level.

Cell lengths 5.4523, 5.4523, 5.4523 Å; angles 60.00, 60.00, 60.00 degrees
Closest atoms and distances in Å follow each position.
Positions (direct):
Sr: 0.0000 0.0000 0.0000  4 Li 3.34, 4 La 3.34
Li: 0.7500 0.7500 0.7500  4 Sr 3.34
La: 0.2500 0.2500 0.2500  4 Sr 3.34

Values from the calculation:
DFT formation energy in eV/atom: 0.77
E above lowest polymorph in eV per formula unit: 1.65
Total DFT energy (no corrections) in eV per atom: -21.8167

=====

Below is a PBEsol-optimized structure of MnBSe3, with properties calculated at the SCAN level.

Cell lengths 4.4239, 4.4239, 4.4239 Å; angles 90.00, 90.00, 90.00 degrees
Closest atoms and distances in Å follow each position.
Positions (direct):
Mn: 0.0000 0.0000 0.0000  12 Se 3.13
B: 0.5000 0.5000 0.5000  6 Se 2.21
Se: 0.0000 0.5000 0.5000  2 B 2.21
Se: 0.5000 0.0000 0.5000  2 B 2.21
Se: 0.5000 0.5000 0.0000  2 B 2.21

Values from the calculation:
Total DFT energy (no corrections) in eV per atom: -16.6368

=====

Below is a PBEsol-optimized structure of Mg30ZnCoO32, with properties calculated at the SCAN level.

Cell lengths 8.4322, 8.4322, 8.4212 Å; angles 90.00, 90.00, 90.00 degrees
Closest atoms and distances in Å follow each position.
Positions (direct):
Mg: 0.0000 0.0000 0.0000  6 O 2.10-2.11
Mg: 0.0000 0.0000 0.5000  6 O 2.11
Mg: 0.0000 0.2502 0.2503  6 O 2.10-2.11
Mg: 0.0000 0.2502 0.7497  6 O 2.10-2.11
Mg: 0.0000 0.5000 0.0000  6 O 2.10-2.11
Mg: 0.0000 0.5000 0.5000  6 O 2.10-2.11
Mg: 0.0000 0.7498 0.2503  6 O 2.10-2.11
Mg: 0.0000 0.7498 0.7497  6 O 2.10-2.11
Mg: 0.2502 0.0000 0.2503  6 O 2.10-2.11
Mg: 0.2502 0.0000 0.7497  6 O 2.10-2.11
Mg: 0.2503 0.2503 0.0000  6 O 2.10-2.11
Mg: 0.2503 0.7497 0.0000  6 O 2.10-2.11
Mg: 0.2514 0.5000 0.2522  6 O 2.09-2.12
Mg: 0.2514 0.5000 0.7478  6 O 2.09-2.12
Mg: 0.2517 0.2517 0.5000  6 O 2.09-2.12
Mg: 0.2517 0.7483 0.5000  6 O 2.09-2.12
Mg: 0.5000 0.0000 0.0000  6 O 2.10-2.11
Mg: 0.5000 0.0000 0.5000  6 O 2.10-2.11
Mg: 0.5000 0.2514 0.2522  6 O 2.09-2.12
Mg: 0.5000 0.2514 0.7478  6 O 2.09-2.12
Mg: 0.5000 0.7486 0.2522  6 O 2.09-2.12
Mg: 0.5000 0.7486 0.7478  6 O 2.09-2.12
Mg: 0.7483 0.2517 0.5000  6 O 2.09-2.12
Mg: 0.7483 0.7483 0.5000  6 O 2.09-2.12
Mg: 0.7486 0.5000 0.2522  6 O 2.09-2.12
Mg: 0.7486 0.5000 0.7478  6 O 2.09-2.12
Mg: 0.7498 0.0000 0.2503  6 O 2.10-2.11
Mg: 0.7498 0.0000 0.7497  6 O 2.10-2.11
Mg: 0.7497 0.2503 0.0000  6 O 2.10-2.11
Mg: 0.7497 0.7497 0.0000  6 O 2.10-2.11
Zn: 0.5000 0.5000 0.0000  6 O 2.11-2.19
Co: 0.5000 0.5000 0.5000  6 O 2.02-2.12
O: 0.0000 0.0000 0.2499  6 Mg 2.10-2.11
O: 0.0000 0.0000 0.7501  6 Mg 2.10-2.11
O: 0.0000 0.2503 0.0000  6 Mg 2.11
O: 0.0000 0.2503 0.5000  6 Mg 2.10-2.12
O: 0.0000 0.5000 0.2498  6 Mg 2.10-2.12
O: 0.0000 0.5000 0.7502  6 Mg 2.10-2.12
O: 0.0000 0.7497 0.0000  6 Mg 2.11
O: 0.0000 0.7497 0.5000  6 Mg 2.10-2.12
O: 0.2486 0.5000 0.5000  5 Mg 2.09-2.10, 1 Co 2.12
O: 0.2503 0.0000 0.0000  6 Mg 2.11
O: 0.2503 0.0000 0.5000  6 Mg 2.10-2.12
O: 0.2499 0.5000 0.0000  5 Mg 2.11-2.12, 1 Zn 2.11
O: 0.2505 0.2505 0.2499  6 Mg 2.10-2.11
O: 0.2505 0.2505 0.7501  6 Mg 2.10-2.11
O: 0.2505 0.7495 0.2499  6 Mg 2.10-2.11
O: 0.2505 0.7495 0.7501  6 Mg 2.10-2.11
O: 0.5000 0.0000 0.2498  6 Mg 2.10-2.12
O: 0.5000 0.0000 0.7502  6 Mg 2.10-2.12
O: 0.5000 0.2486 0.5000  5 Mg 2.09-2.10, 1 Co 2.12
O: 0.5000 0.2499 0.0000  5 Mg 2.11-2.12, 1 Zn 2.11
O: 0.5000 0.5000 0.2598  1 Co 2.02, 4 Mg 2.10, 1 Zn 2.19
O: 0.5000 0.5000 0.7402  1 Co 2.02, 4 Mg 2.10, 1 Zn 2.19
O: 0.5000 0.7501 0.0000  5 Mg 2.11-2.12, 1 Zn 2.11
O: 0.5000 0.7514 0.5000  5 Mg 2.09-2.10, 1 Co 2.12
O: 0.7495 0.2505 0.2499  6 Mg 2.10-2.11
O: 0.7495 0.2505 0.7501  6 Mg 2.10-2.11
O: 0.7495 0.7495 0.2499  6 Mg 2.10-2.11
O: 0.7495 0.7495 0.7501  6 Mg 2.10-2.11
O: 0.7497 0.0000 0.0000  6 Mg 2.11
O: 0.7497 0.0000 0.5000  6 Mg 2.10-2.12
O: 0.7501 0.5000 0.0000  5 Mg 2.11-2.12, 1 Zn 2.11
O: 0.7514 0.5000 0.5000  5 Mg 2.09-2.10, 1 Co 2.12

Values from the calculation:
Total DFT energy (no corrections) in eV per atom: -8.8304

=====

Below is a PBEsol-optimized structure of ZnCuAu2, with properties calculated at the SCAN level.

Cell lengths 4.5172, 2.8995, 8.9953 Å; angles 90.00, 92.93, 90.00 degrees
Closest atoms and distances in Å follow each position.
Positions (direct):
Zn: 0.2054 0.0000 0.3862  8 Au 2.69-2.73, 3 Zn 2.83-2.90
Zn: 0.7946 0.0000 0.6138  8 Au 2.69-2.73, 3 Zn 2.83-2.90
Cu: 0.3062 0.0000 0.8919  1 Cu 2.55, 8 Au 2.67-2.70
Cu: 0.6938 0.0000 0.1081  1 Cu 2.55, 8 Au 2.67-2.70
Au: 0.1948 0.5000 0.1326  6 Cu 2.67-2.70, 2 Zn 2.70, 4 Au 2.89-2.98
Au: 0.2979 0.5000 0.6419  2 Cu 2.67, 6 Zn 2.69-2.73, 3 Au 2.90-2.98
Au: 0.7021 0.5000 0.3581  2 Cu 2.67, 6 Zn 2.69-2.73, 3 Au 2.90-2.98
Au: 0.8052 0.5000 0.8674  6 Cu 2.67-2.70, 2 Zn 2.70, 4 Au 2.89-2.98

Values from the calculation:
DFT formation energy in eV/atom: -0.18
Total DFT energy (no corrections) in eV per atom: -41.9352

=====

Below is a PBEsol-optimized structure of HfBe2Nb2, with properties calculated at the SCAN level.

Cell lengths 6.6264, 6.6264, 3.3329 Å; angles 90.00, 90.00, 90.00 degrees
Closest atoms and distances in Å follow each position.
Positions (direct):
Hf: 0.0000 0.0000 0.0000  4 Be 2.67, 8 Nb 2.96
Hf: 0.5000 0.5000 0.0000  4 Be 2.67, 8 Nb 2.96
Be: 0.1128 0.3872 0.0000  1 Be 2.11
Be: 0.3872 0.8872 0.0000  1 Be 2.11
Be: 0.6128 0.1128 0.0000  1 Be 2.11
Be: 0.8872 0.6128 0.0000  1 Be 2.11
Nb: 0.1765 0.6765 0.5000  6 Be 2.57-2.58
Nb: 0.3235 0.1765 0.5000  6 Be 2.57-2.58
Nb: 0.6765 0.8235 0.5000  6 Be 2.57-2.58
Nb: 0.8235 0.3235 0.5000  6 Be 2.57-2.58

Values from the calculation:
DFT formation energy in eV/atom: -0.08
Total DFT energy (no corrections) in eV per atom: -27.6035